# 1
CaMn2Rh2: optimized geometry, PBE.

a b c (Å): 5.5532 5.5532 5.5532
angles (deg): 136.27 136.27 63.57
Fractional coordinates of all 5 atoms:
Ca  0.0000  0.0000  0.0000
Mn  0.3968  0.3968  0.0000
Mn  0.6032  0.6032  0.0000
Rh  0.2500  0.7500  0.5000
Rh  0.7500  0.2500  0.5000

Values from the calculation:
Energy relative to the lowest polymorph listed for this composition (eV per atom): 0.000
Total moment (μB/f.u.): 0.00
Energy of formation (meV per atom): 51
DFT total energy (eV per atom): -6.9581

---

# 2
Hf2TlGa: optimized geometry, PBE.

a b c (Å): 4.3898 4.3898 4.2508
angles (deg): 90.00 90.00 90.00
Fractional coordinates of all 4 atoms:
Hf  0.0000  0.5000  0.0000
Hf  0.5000  0.0000  0.0000
Tl  0.0000  0.0000  0.5000
Ga  0.5000  0.5000  0.5000

Values from the calculation:
Energy relative to the lowest polymorph listed for this composition (eV per atom): 0.000
Total moment (μB/f.u.): 0.00
Energy of formation (meV per atom): -96
DFT total energy (eV per atom): -6.4205

---

# 3
SmY5Ho2Sc: optimized geometry, PBE.

a b c (Å): 10.3323 10.3323 10.3851
angles (deg): 90.00 90.00 148.81
Fractional coordinates of all 18 atoms:
Sm  0.0892  0.9108  0.5000
Sm  0.9108  0.0892  0.0000
Y  0.0192  0.9808  0.7879
Y  0.1273  0.8727  0.0712
Y  0.2011  0.7989  0.7528
Y  0.2265  0.7735  0.3787
Y  0.4826  0.5174  0.0674
Y  0.5174  0.4826  0.5674
Y  0.7735  0.2265  0.8787
Y  0.7989  0.2011  0.2528
Y  0.8727  0.1273  0.5712
Y  0.9808  0.0192  0.2879
Ho  0.3856  0.6144  0.7862
Ho  0.3894  0.6106  0.3632
Ho  0.6106  0.3894  0.8632
Ho  0.6144  0.3856  0.2862
Sc  0.3074  0.6926  0.0664
Sc  0.6926  0.3074  0.5664

Values from the calculation:
Total moment (μB/f.u.): 0.00
Energy of formation (meV per atom): 167
DFT total energy (eV per atom): -5.6692

---

# 4
NdAl3AgAu: optimized geometry, PBE.

a b c (Å): 7.2832 7.2832 6.0318
angles (deg): 90.00 90.00 129.70
Fractional coordinates of all 12 atoms:
Nd  0.1987  0.8013  0.7500
Nd  0.8013  0.1987  0.2500
Al  0.2074  0.2074  0.0000
Al  0.2074  0.2074  0.5000
Al  0.3638  0.6362  0.2500
Al  0.6362  0.3638  0.7500
Al  0.7926  0.7926  0.0000
Al  0.7926  0.7926  0.5000
Ag  0.4154  0.5846  0.7500
Ag  0.5846  0.4154  0.2500
Au  0.1568  0.8432  0.2500
Au  0.8432  0.1568  0.7500

Values from the calculation:
Total moment (μB/f.u.): 0.00
Energy of formation (meV per atom): -231
DFT total energy (eV per atom): -3.9185

---

# 5
RbAc2ZnO4: optimized geometry, PBE.

a b c (Å): 6.8738 6.8738 12.6560
angles (deg): 90.00 90.00 147.06
Fractional coordinates of all 16 atoms:
Rb  0.0982  0.9018  0.7500
Rb  0.9018  0.0982  0.2500
Ac  0.3700  0.6300  0.5527
Ac  0.3700  0.6300  0.9473
Ac  0.6300  0.3700  0.0527
Ac  0.6300  0.3700  0.4473
Zn  0.1810  0.8190  0.2500
Zn  0.8190  0.1810  0.7500
O  0.0000  0.0000  0.0000
O  0.0000  0.0000  0.5000
O  0.2529  0.7471  0.1019
O  0.2529  0.7471  0.3981
O  0.3851  0.6149  0.7500
O  0.6149  0.3851  0.2500
O  0.7471  0.2529  0.6019
O  0.7471  0.2529  0.8981

Values from the calculation:
Total moment (μB/f.u.): 0.00
DFT total energy (eV per atom): -6.0472
ΔE_f (raw) (meV per atom): -2261

---

# 6
SrCd2ReMo: optimized geometry, PBE.

a b c (Å): 5.3794 5.3794 4.6782
angles (deg): 90.00 90.00 90.00
Fractional coordinates of all 5 atoms:
Sr  0.0000  0.0000  0.0000
Cd  0.0000  0.5000  0.5000
Cd  0.5000  0.0000  0.5000
Re  0.5000  0.5000  0.0000
Mo  0.5000  0.5000  0.5000

Values from the calculation:
Total moment (μB/f.u.): 0.00
Energy of formation (meV per atom): 786
DFT total energy (eV per atom): -4.5718

---

# 7
YC3Se: optimized geometry, PBE.

a b c (Å): 3.9825 3.9825 3.9825
angles (deg): 90.00 90.00 90.00
Fractional coordinates of all 5 atoms:
Y  0.0000  0.0000  0.0000
C  0.0000  0.5000  0.5000
C  0.5000  0.0000  0.5000
C  0.5000  0.5000  0.0000
Se  0.5000  0.5000  0.5000

Values from the calculation:
Energy relative to the lowest polymorph listed for this composition (eV per atom): 0.000
Total moment (μB/f.u.): 0.00
DFT total energy (eV per atom): -5.6851
ΔE_f (raw) (meV per atom): 1839

---

# 8
CaHo2S4: optimized geometry, PBE.

a b c (Å): 12.9690 3.8910 13.1227
angles (deg): 90.00 90.00 90.00
Fractional coordinates of all 28 atoms:
Ca  0.1302  0.2500  0.0818
Ca  0.3698  0.7500  0.5818
Ca  0.6302  0.2500  0.4182
Ca  0.8698  0.7500  0.9182
Ho  0.1074  0.7500  0.4166
Ho  0.1467  0.7500  0.7974
Ho  0.3533  0.2500  0.2974
Ho  0.3926  0.2500  0.9166
Ho  0.6074  0.7500  0.0834
Ho  0.6467  0.7500  0.7026
Ho  0.8533  0.2500  0.2026
Ho  0.8926  0.2500  0.5834
S  0.0295  0.2500  0.8821
S  0.0337  0.7500  0.6174
S  0.2176  0.7500  0.2375
S  0.2430  0.2500  0.4743
S  0.2570  0.7500  0.9743
S  0.2824  0.2500  0.7375
S  0.4663  0.2500  0.1174
S  0.4705  0.7500  0.3821
S  0.5295  0.2500  0.6179
S  0.5337  0.7500  0.8826
S  0.7176  0.7500  0.2625
S  0.7430  0.2500  0.0257
S  0.7570  0.7500  0.5257
S  0.7824  0.2500  0.7625
S  0.9663  0.2500  0.3826
S  0.9705  0.7500  0.1179

Values from the calculation:
Energy relative to the lowest polymorph listed for this composition (eV per atom): 0.000
Total moment (μB/f.u.): 0.00
DFT total energy (eV per atom): -6.0575
ΔE_f (raw) (meV per atom): -2105

---

# 9
La3Rh2: optimized geometry, PBE.

a b c (Å): 7.8173 7.8173 7.8173
angles (deg): 54.73 54.73 54.73
Fractional coordinates of all 10 atoms:
La  0.0868  0.7500  0.4132
La  0.2500  0.5868  0.9132
La  0.4132  0.0868  0.7500
La  0.5868  0.9132  0.2500
La  0.7500  0.4132  0.0868
La  0.9132  0.2500  0.5868
Rh  0.1698  0.1698  0.1698
Rh  0.3302  0.3302  0.3302
Rh  0.6698  0.6698  0.6698
Rh  0.8302  0.8302  0.8302

Values from the calculation:
Energy relative to the lowest polymorph listed for this composition (eV per atom): 0.015
Total moment (μB/f.u.): 0.00
Energy of formation (meV per atom): -656
DFT total energy (eV per atom): -6.5529

---

# 10
YIn2Cu: optimized geometry, PBE.

a b c (Å): 3.4745 3.4745 7.5810
angles (deg): 90.00 90.00 90.00
Fractional coordinates of all 4 atoms:
Y  0.0000  0.0000  0.0000
In  0.0000  0.0000  0.4258
In  0.5000  0.5000  0.7001
Cu  0.5000  0.5000  0.2293

Values from the calculation:
Total moment (μB/f.u.): 0.00
Energy of formation (meV per atom): -156
DFT total energy (eV per atom): -4.1648

---

# 11
ZnSnSe3: optimized geometry, PBE.

a b c (Å): 6.7863 3.9821 10.2344
angles (deg): 90.00 104.47 90.00
Fractional coordinates of all 10 atoms:
Zn  0.0681  0.2500  0.4158
Zn  0.9319  0.7500  0.5842
Sn  0.2632  0.2500  0.0034
Sn  0.7368  0.7500  0.9966
Se  0.0268  0.7500  0.8456
Se  0.2598  0.7500  0.5104
Se  0.4769  0.7500  0.1639
Se  0.5231  0.2500  0.8361
Se  0.7402  0.2500  0.4896
Se  0.9732  0.2500  0.1544

Values from the calculation:
Energy relative to the lowest polymorph listed for this composition (eV per atom): 0.000
Total moment (μB/f.u.): 0.00
DFT total energy (eV per atom): -3.5285
ΔE_f (raw) (meV per atom): -382

---

# 12
LaOs5: optimized geometry, PBE.

a b c (Å): 2.8206 2.8206 12.4702
angles (deg): 90.00 90.00 90.00
Fractional coordinates of all 6 atoms:
La  0.0000  0.0000  0.0000
Os  0.0000  0.0000  0.3452
Os  0.0000  0.0000  0.6548
Os  0.5000  0.5000  0.2066
Os  0.5000  0.5000  0.5000
Os  0.5000  0.5000  0.7934

Values from the calculation:
Total moment (μB/f.u.): 0.00
Energy of formation (meV per atom): 326
DFT total energy (eV per atom): -9.8537